Cu2Ni2Ge: optimized geometry, PBE.

Cell: 3.9221 3.9221 17.3865 Å, 90.00 90.00 120.00°
With the nearest neighbours (Å) after each atom.
Element x y z (fractional)
Cu (0.0000, 0.0000, 0.0664)  1 Cu 2.31, 4 Ni 2.46-2.49
Cu (0.0000, 0.0000, 0.9336)  1 Cu 2.31, 4 Ni 2.46-2.49
Cu (0.3333, 0.6667, 0.6002)  1 Cu 2.31, 4 Ni 2.46-2.49
Cu (0.3333, 0.6667, 0.7331)  1 Cu 2.31, 4 Ni 2.46-2.49
Cu (0.6667, 0.3333, 0.2669)  1 Cu 2.31, 4 Ni 2.46-2.49
Cu (0.6667, 0.3333, 0.3998)  1 Cu 2.31, 4 Ni 2.46-2.49
Ni (0.0000, 0.0000, 0.2080)  3 Ge 2.38, 4 Cu 2.46-2.49
Ni (0.0000, 0.0000, 0.7920)  3 Ge 2.38, 4 Cu 2.46-2.49
Ni (0.3333, 0.6667, 0.4587)  3 Ge 2.38, 4 Cu 2.46-2.49
Ni (0.3333, 0.6667, 0.8746)  3 Ge 2.38, 4 Cu 2.46-2.49
Ni (0.6667, 0.3333, 0.1254)  3 Ge 2.38, 4 Cu 2.46-2.49
Ni (0.6667, 0.3333, 0.5413)  3 Ge 2.38, 4 Cu 2.46-2.49
Ge (0.0000, 0.0000, 0.5000)  6 Ni 2.38
Ge (0.3333, 0.6667, 0.1667)  6 Ni 2.38
Ge (0.6667, 0.3333, 0.8333)  6 Ni 2.38

Volume = 231.62 Å³/cell
Offset from the most stable computed form = 376 meV per atom
Formation enthalpy at 0 K = 0.298 eV/atom
Mass density = 6.8 g/cm³

---

ScMnCuRu: optimized geometry, PBE.

Cell: 6.2464 6.2464 6.2464 Å, 90.00 90.00 90.00°
With the nearest neighbours (Å) after each atom.
Element x y z (fractional)
Sc (0.0000, 0.0000, 0.0000)  4 Ru 2.70, 4 Cu 2.70
Sc (0.0000, 0.5000, 0.5000)  4 Ru 2.70, 4 Cu 2.70
Sc (0.5000, 0.0000, 0.5000)  4 Ru 2.70, 4 Cu 2.70
Sc (0.5000, 0.5000, 0.0000)  4 Ru 2.70, 4 Cu 2.70
Mn (0.0000, 0.0000, 0.5000)  4 Cu 2.70, 4 Ru 2.70
Mn (0.0000, 0.5000, 0.0000)  4 Ru 2.70, 4 Cu 2.70
Mn (0.5000, 0.0000, 0.0000)  4 Ru 2.70, 4 Cu 2.70
Mn (0.5000, 0.5000, 0.5000)  4 Cu 2.70, 4 Ru 2.70
Cu (0.2500, 0.2500, 0.2500)  4 Sc 2.70, 4 Mn 2.70
Cu (0.2500, 0.7500, 0.7500)  4 Sc 2.70, 4 Mn 2.70
Cu (0.7500, 0.2500, 0.7500)  4 Sc 2.70, 4 Mn 2.70
Cu (0.7500, 0.7500, 0.2500)  4 Sc 2.70, 4 Mn 2.70
Ru (0.2500, 0.2500, 0.7500)  4 Mn 2.70, 4 Sc 2.70
Ru (0.2500, 0.7500, 0.2500)  4 Mn 2.70, 4 Sc 2.70
Ru (0.7500, 0.2500, 0.2500)  4 Mn 2.70, 4 Sc 2.70
Ru (0.7500, 0.7500, 0.7500)  4 Mn 2.70, 4 Sc 2.70

Volume = 243.71 Å³/cell
Formation enthalpy at 0 K = -0.117 eV/atom
Mass density = 7.2 g/cm³

---

KIn4Ag2Pd: optimized geometry, PBE.

Cell: 11.0383 11.0383 11.0383 Å, 24.63 24.63 24.63°
With the nearest neighbours (Å) after each atom.
Element x y z (fractional)
K (0.0000, 0.0000, 0.0000)  6 In 3.62
In (0.1363, 0.1363, 0.1363)  3 Pd 2.89, 4 Ag 2.94-3.07
In (0.4077, 0.4077, 0.4077)  3 Ag 2.85, 1 Pd 2.96
In (0.5923, 0.5923, 0.5923)  3 Ag 2.85, 1 Pd 2.96
In (0.8637, 0.8637, 0.8637)  3 Pd 2.89, 4 Ag 2.94-3.07
Ag (0.2319, 0.2319, 0.2319)  7 In 2.85-3.07
Ag (0.7681, 0.7681, 0.7681)  7 In 2.85-3.07
Pd (0.5000, 0.5000, 0.5000)  8 In 2.89-2.96

Volume = 205.37 Å³/cell
Formation enthalpy at 0 K = -0.149 eV/atom
Mass density = 6.6 g/cm³

---

K2ZnMoCl: optimized geometry, PBE.

Cell: 6.7755 6.7755 4.5936 Å, 90.00 90.00 90.00°
With the nearest neighbours (Å) after each atom.
Element x y z (fractional)
K (0.0000, 0.5000, 0.0000)  2 Mo 3.39
K (0.5000, 0.0000, 0.0000)  2 Mo 3.39
Zn (0.0000, 0.0000, 0.5000)  8 K 4.09
Mo (0.5000, 0.5000, 0.0000)  2 Cl 2.30
Cl (0.5000, 0.5000, 0.5000)  2 Mo 2.30

Volume = 210.88 Å³/cell
ΔE_f (raw) = 3.00 eV/f.u.
Mass density = 2.2 g/cm³

---

TbEr5In6: optimized geometry, PBE.

Cell: 8.3700 8.3700 7.4509 Å, 90.00 90.00 143.13°
With the nearest neighbours (Å) after each atom.
Element x y z (fractional)
Tb (0.0000, 0.0000, 0.0000)  8 In 3.24-3.26
Er (0.0000, 0.0000, 0.5000)  8 In 3.23-3.24
Er (0.3330, 0.6670, 0.0000)  8 In 3.23-3.25
Er (0.3343, 0.6657, 0.5000)  8 In 3.22-3.23
Er (0.6657, 0.3343, 0.5000)  8 In 3.22-3.23
Er (0.6670, 0.3330, 0.0000)  8 In 3.23-3.25
In (0.1676, 0.8324, 0.2518)  7 Er 3.23-3.24, 1 Tb 3.26
In (0.1676, 0.8324, 0.7482)  7 Er 3.23-3.24, 1 Tb 3.26
In (0.5000, 0.5000, 0.2511)  6 Er 3.22-3.25, 2 Tb 3.24
In (0.5000, 0.5000, 0.7489)  6 Er 3.22-3.25, 2 Tb 3.24
In (0.8324, 0.1676, 0.2518)  7 Er 3.23-3.24, 1 Tb 3.26
In (0.8324, 0.1676, 0.7482)  7 Er 3.23-3.24, 1 Tb 3.26

Volume = 313.20 Å³/cell
Formation enthalpy at 0 K = -0.447 eV/atom
Mass density = 8.9 g/cm³

---

SrLa4Au: optimized geometry, PBE.

Cell: 6.6584 6.6584 6.6584 Å, 60.00 60.00 60.00°
With the nearest neighbours (Å) after each atom.
Element x y z (fractional)
Sr (0.0000, 0.0000, 0.0000)  12 La 3.92, 4 Au 4.08
La (0.3789, 0.3789, 0.3789)  6 La 3.22-3.43
La (0.3789, 0.3789, 0.8632)  6 La 3.22-3.43
La (0.3789, 0.8632, 0.3789)  6 La 3.22-3.43
La (0.8632, 0.3789, 0.3789)  6 La 3.22-3.43
Au (0.7500, 0.7500, 0.7500)  12 La 3.89, 4 Sr 4.08

Volume = 208.74 Å³/cell
Formation enthalpy at 0 K = 0.256 eV/atom
Mass density = 6.7 g/cm³

---

LaCuSi2: optimized geometry, PBE.

Cell: 4.6901 4.6901 15.9446 Å, 90.00 90.00 90.00°
With the nearest neighbours (Å) after each atom.
Element x y z (fractional)
La (0.0000, 0.0000, 0.0000)  4 Si 3.09, 4 Cu 3.32
La (0.0000, 0.5000, 0.2500)  4 Si 3.09, 4 Cu 3.32
La (0.5000, 0.0000, 0.7500)  4 Si 3.09, 4 Cu 3.32
La (0.5000, 0.5000, 0.5000)  4 Si 3.09, 4 Cu 3.32
Cu (0.0000, 0.0000, 0.5000)  4 Si 2.33
Cu (0.0000, 0.5000, 0.7500)  4 Si 2.33
Cu (0.5000, 0.0000, 0.2500)  4 Si 2.33
Cu (0.5000, 0.5000, 0.0000)  4 Si 2.33
Si (0.0618, 0.2500, 0.6250)  2 Cu 2.33, 2 Si 2.42
Si (0.2500, 0.5618, 0.8750)  2 Cu 2.33, 2 Si 2.42
Si (0.2500, 0.9382, 0.3750)  2 Cu 2.33, 2 Si 2.42
Si (0.4382, 0.2500, 0.1250)  2 Cu 2.33, 2 Si 2.42
Si (0.5618, 0.7500, 0.1250)  2 Cu 2.33, 2 Si 2.42
Si (0.7500, 0.0618, 0.3750)  2 Cu 2.33, 2 Si 2.42
Si (0.7500, 0.4382, 0.8750)  2 Cu 2.33, 2 Si 2.42
Si (0.9382, 0.7500, 0.6250)  2 Cu 2.33, 2 Si 2.42

Volume = 350.73 Å³/cell
ΔE_f (raw) = -1.23 eV/f.u.
Mass density = 4.9 g/cm³

---

SrTc2I: optimized geometry, PBE.

Cell: 7.9485 7.9485 6.1785 Å, 90.00 90.00 90.00°
With the nearest neighbours (Å) after each atom.
Element x y z (fractional)
Sr (0.0000, 0.0000, 0.0000)  2 I 3.09, 8 Tc 3.35-3.36
Sr (0.0000, 0.5000, 0.2500)  2 I 3.09, 8 Tc 3.35-3.36
Sr (0.5000, 0.0000, 0.7500)  2 I 3.09, 8 Tc 3.35-3.36
Sr (0.5000, 0.5000, 0.5000)  2 I 3.09, 8 Tc 3.35-3.36
Tc (0.1728, 0.2500, 0.6250)  2 I 2.54
Tc (0.2500, 0.6728, 0.8750)  2 I 2.54
Tc (0.2500, 0.8272, 0.3750)  2 I 2.54
Tc (0.3272, 0.2500, 0.1250)  2 I 2.54
Tc (0.6728, 0.7500, 0.1250)  2 I 2.54
Tc (0.7500, 0.1728, 0.3750)  2 I 2.54
Tc (0.7500, 0.3272, 0.8750)  2 I 2.54
Tc (0.8272, 0.7500, 0.6250)  2 I 2.54
I (0.0000, 0.0000, 0.5000)  4 Tc 2.54
I (0.0000, 0.5000, 0.7500)  4 Tc 2.54
I (0.5000, 0.0000, 0.2500)  4 Tc 2.54
I (0.5000, 0.5000, 0.0000)  4 Tc 2.54

Volume = 390.35 Å³/cell
Offset from the most stable computed form = 37 meV per atom
ΔE_f (raw) = 4.83 eV/f.u.
Mass density = 7.0 g/cm³

---

Q: What is the mass density in the second record?
A: 7.2 g/cm³

---

Q: volume of number 4 (K2ZnMoCl)?
A: 210.88 Å³/cell

---

Q: Look up the volume of the eighth one.
A: 390.35 Å³/cell